(A)
# AsOsIN2

A relaxed AsOsIN2 crystal (PBE, the Alexandria database).

Results
Magnetic moment = 2.25 μB per cell

Cell: 3.7471 3.7471 7.1621 Å, 90.00 90.00 90.00°
With the nearest neighbours (Å) after each atom.
Fractional positions:
I (0.0000, 0.0000, 0.5000)  4 Os 2.65
As (0.0000, 0.0000, 0.0000)  4 N 1.87
Os (0.5000, 0.5000, 0.5000)  4 I 2.65
N (0.0000, 0.5000, 0.0000)  2 As 1.87
N (0.5000, 0.0000, 0.0000)  2 As 1.87


(B)
# AsOsIN2

A relaxed AsOsIN2 crystal (PBE, the Alexandria database).

Results
Magnetic moment = 0.00 μB per cell

Cell: 3.8491 3.8491 6.4813 Å, 90.00 90.00 90.00°
With the nearest neighbours (Å) after each atom.
Fractional positions:
I (0.0000, 0.0000, 0.5000)  4 As 2.72
As (0.5000, 0.5000, 0.5000)  4 I 2.72
Os (0.0000, 0.0000, 0.0000)  4 N 1.92
N (0.0000, 0.5000, 0.0000)  2 Os 1.92
N (0.5000, 0.0000, 0.0000)  2 Os 1.92


Energy relative to the most stable one, in eV/atom: (A) 0.999; (B) 0.000


(A)
# AsPIN2

A relaxed AsPIN2 crystal (PBE, the Alexandria database).

Results
Magnetic moment = 0.77 μB per cell

Cell: 3.7627 3.7627 8.0352 Å, 90.00 90.00 90.00°
With the nearest neighbours (Å) after each atom.
Fractional positions:
I (0.0000, 0.0000, 0.5000)  4 P 2.66
P (0.5000, 0.5000, 0.5000)  4 I 2.66
As (0.0000, 0.0000, 0.0000)  4 N 1.88
N (0.0000, 0.5000, 0.0000)  2 As 1.88
N (0.5000, 0.0000, 0.0000)  2 As 1.88


(B)
# AsPIN2

A relaxed AsPIN2 crystal (PBE, the Alexandria database).

Results
Magnetic moment = 0.67 μB per cell

Cell: 3.6750 3.6750 7.3677 Å, 90.00 90.00 90.00°
With the nearest neighbours (Å) after each atom.
Fractional positions:
I (0.0000, 0.0000, 0.5000)  4 As 2.60
P (0.0000, 0.0000, 0.0000)  4 N 1.84
As (0.5000, 0.5000, 0.5000)  4 I 2.60
N (0.0000, 0.5000, 0.0000)  2 P 1.84
N (0.5000, 0.0000, 0.0000)  2 P 1.84


Energy relative to the most stable one, in eV/atom: (A) 0.163; (B) 0.000


(A)
# ReAsIN2

A relaxed ReAsIN2 crystal (PBE, the Alexandria database).

Results
Magnetic moment = 0.91 μB per cell

Cell: 3.9266 3.9266 5.8841 Å, 90.00 90.00 90.00°
With the nearest neighbours (Å) after each atom.
Fractional positions:
I (0.0000, 0.0000, 0.5000)  4 As 2.78, 2 Re 2.94
Re (0.0000, 0.0000, 0.0000)  4 N 1.96
As (0.5000, 0.5000, 0.5000)  4 I 2.78
N (0.0000, 0.5000, 0.0000)  2 Re 1.96
N (0.5000, 0.0000, 0.0000)  2 Re 1.96


(B)
# ReAsIN2

A relaxed ReAsIN2 crystal (PBE, the Alexandria database).

Results
Magnetic moment = 4.16 μB per cell

Cell: 3.8318 3.8318 6.8190 Å, 90.00 90.00 90.00°
With the nearest neighbours (Å) after each atom.
Fractional positions:
I (0.0000, 0.0000, 0.5000)  4 Re 2.71
Re (0.5000, 0.5000, 0.5000)  4 I 2.71
As (0.0000, 0.0000, 0.0000)  4 N 1.92
N (0.0000, 0.5000, 0.0000)  2 As 1.92
N (0.5000, 0.0000, 0.0000)  2 As 1.92


Energy relative to the most stable one, in eV/atom: (A) 0.000; (B) 1.220


(A)
# AsSIN2

A relaxed AsSIN2 crystal (PBE, the Alexandria database).

Results
Magnetic moment = 0.68 μB per cell

Cell: 3.7808 3.7808 6.5003 Å, 90.00 90.00 90.00°
With the nearest neighbours (Å) after each atom.
Fractional positions:
I (0.5000, 0.5000, 0.5000)  4 S 2.67
As (0.0000, 0.0000, 0.0000)  4 N 1.89
S (0.0000, 0.0000, 0.5000)  4 I 2.67
N (0.0000, 0.5000, 0.0000)  2 As 1.89
N (0.5000, 0.0000, 0.0000)  2 As 1.89


(B)
# AsSIN2

A relaxed AsSIN2 crystal (PBE, the Alexandria database).

Results
Magnetic moment = 1.01 μB per cell

Cell: 3.8949 3.8949 6.9223 Å, 90.00 90.00 90.00°
With the nearest neighbours (Å) after each atom.
Fractional positions:
I (0.0000, 0.0000, 0.0000)  4 N 1.95
As (0.5000, 0.5000, 0.5000)  4 S 2.75
S (0.0000, 0.0000, 0.5000)  4 As 2.75
N (0.0000, 0.5000, 0.0000)  2 I 1.95
N (0.5000, 0.0000, 0.0000)  2 I 1.95


(C)
# AsSIN2

A relaxed AsSIN2 crystal (PBE, the Alexandria database).

Results
Magnetic moment = 0.00 μB per cell

Cell: 3.7408 3.7408 7.4385 Å, 90.00 90.00 90.00°
With the nearest neighbours (Å) after each atom.
Fractional positions:
I (0.0000, 0.0000, 0.5000)  4 As 2.65
As (0.5000, 0.5000, 0.5000)  4 I 2.65
S (0.0000, 0.0000, 0.0000)  4 N 1.87
N (0.0000, 0.5000, 0.0000)  2 S 1.87
N (0.5000, 0.0000, 0.0000)  2 S 1.87


Energy relative to the most stable one, in eV/atom: (A) 0.000; (B) 0.526; (C) 0.416


(A)
# AsS2IN

A relaxed AsS2IN crystal (PBE, the Alexandria database).

Results
Magnetic moment = 0.61 μB per cell

Cell: 5.0383 5.0383 3.7091 Å, 90.00 90.00 90.00°
With the nearest neighbours (Å) after each atom.
Fractional positions:
I (0.5000, 0.5000, 0.5000)  8 S 3.13
As (0.0000, 0.0000, 0.0000)  2 N 1.85
S (0.0000, 0.5000, 0.0000)  2 As 2.52
S (0.5000, 0.0000, 0.0000)  2 As 2.52
N (0.0000, 0.0000, 0.5000)  2 As 1.85


(B)
# AsS2IN

A relaxed AsS2IN crystal (PBE, the Alexandria database).

Results
Magnetic moment = 0.00 μB per cell

Cell: 5.2262 5.2262 3.8835 Å, 90.00 90.00 90.00°
With the nearest neighbours (Å) after each atom.
Fractional positions:
I (0.0000, 0.0000, 0.0000)  2 N 1.94
As (0.5000, 0.5000, 0.5000)  8 S 3.26
S (0.0000, 0.5000, 0.0000)  2 I 2.61
S (0.5000, 0.0000, 0.0000)  2 I 2.61
N (0.0000, 0.0000, 0.5000)  2 I 1.94


Energy relative to the most stable one, in eV/atom: (A) 0.000; (B) 0.482


(A)
# ScAsIN2

A relaxed ScAsIN2 crystal (PBE, the Alexandria database).

Results
Magnetic moment = 1.58 μB per cell

Cell: 4.1672 4.1672 6.1673 Å, 90.00 90.00 90.00°
With the nearest neighbours (Å) after each atom.
Fractional positions:
I (0.0000, 0.0000, 0.5000)  4 As 2.95, 2 Sc 3.08
Sc (0.0000, 0.0000, 0.0000)  4 N 2.08
As (0.5000, 0.5000, 0.5000)  4 I 2.95
N (0.0000, 0.5000, 0.0000)  2 Sc 2.08
N (0.5000, 0.0000, 0.0000)  2 Sc 2.08


(B)
# ScAsIN2

A relaxed ScAsIN2 crystal (PBE, the Alexandria database).

Results
Magnetic moment = 0.00 μB per cell

Cell: 4.0005 4.0005 5.5403 Å, 90.00 90.00 90.00°
With the nearest neighbours (Å) after each atom.
Fractional positions:
I (0.0000, 0.0000, 0.5000)  2 As 2.77, 4 Sc 2.83
Sc (0.5000, 0.5000, 0.5000)  4 I 2.83
As (0.0000, 0.0000, 0.0000)  4 N 2.00
N (0.0000, 0.5000, 0.0000)  2 As 2.00
N (0.5000, 0.0000, 0.0000)  2 As 2.00


Energy relative to the most stable one, in eV/atom: (A) 0.000; (B) 0.147


(A)
# AsSeI2N

A relaxed AsSeI2N crystal (PBE, the Alexandria database).

Results
Magnetic moment = 0.00 μB per cell

Cell: 5.9688 5.9688 3.6834 Å, 90.00 90.00 90.00°
With the nearest neighbours (Å) after each atom.
Fractional positions:
I (0.0000, 0.5000, 0.0000)  2 Se 2.98
I (0.5000, 0.0000, 0.0000)  2 Se 2.98
As (0.5000, 0.5000, 0.5000)  8 I 3.51, 2 As 3.68
Se (0.0000, 0.0000, 0.0000)  2 N 1.84
N (0.0000, 0.0000, 0.5000)  2 Se 1.84


(B)
# AsSeI2N

A relaxed AsSeI2N crystal (PBE, the Alexandria database).

Results
Magnetic moment = 0.24 μB per cell

Cell: 6.0209 6.0209 3.6185 Å, 90.00 90.00 90.00°
With the nearest neighbours (Å) after each atom.
Fractional positions:
I (0.0000, 0.5000, 0.0000)  2 As 3.01
I (0.5000, 0.0000, 0.0000)  2 As 3.01
As (0.0000, 0.0000, 0.0000)  2 N 1.81
Se (0.5000, 0.5000, 0.5000)  8 I 3.51, 2 Se 3.62
N (0.0000, 0.0000, 0.5000)  2 As 1.81


Energy relative to the most stable one, in eV/atom: (A) 0.156; (B) 0.000


(A)
# SiAsIN2

A relaxed SiAsIN2 crystal (PBE, the Alexandria database).

Results
Magnetic moment = 1.32 μB per cell

Cell: 3.8481 3.8481 7.2166 Å, 90.00 90.00 90.00°
With the nearest neighbours (Å) after each atom.
Fractional positions:
I (0.0000, 0.0000, 0.5000)  4 Si 2.72
As (0.0000, 0.0000, 0.0000)  4 N 1.92
Si (0.5000, 0.5000, 0.5000)  4 I 2.72
N (0.0000, 0.5000, 0.0000)  2 As 1.92
N (0.5000, 0.0000, 0.0000)  2 As 1.92


(B)
# SiAsIN2

A relaxed SiAsIN2 crystal (PBE, the Alexandria database).

Results
Magnetic moment = 0.00 μB per cell

Cell: 3.6720 3.6720 7.5610 Å, 90.00 90.00 90.00°
With the nearest neighbours (Å) after each atom.
Fractional positions:
I (0.0000, 0.0000, 0.5000)  4 As 2.60
As (0.5000, 0.5000, 0.5000)  4 I 2.60
Si (0.0000, 0.0000, 0.0000)  4 N 1.84
N (0.0000, 0.5000, 0.0000)  2 Si 1.84
N (0.5000, 0.0000, 0.0000)  2 Si 1.84


Energy relative to the most stable one, in eV/atom: (A) 0.516; (B) 0.000


(A)
# SiAsI2N

A relaxed SiAsI2N crystal (PBE, the Alexandria database).

Results
Magnetic moment = 0.00 μB per cell

Cell: 5.8639 5.8639 3.3097 Å, 90.00 90.00 90.00°
With the nearest neighbours (Å) after each atom.
Fractional positions:
I (0.0000, 0.5000, 0.0000)  2 Si 2.93
I (0.5000, 0.0000, 0.0000)  2 Si 2.93
As (0.5000, 0.5000, 0.5000)  2 As 3.31, 8 I 3.37
Si (0.0000, 0.0000, 0.0000)  2 N 1.65
N (0.0000, 0.0000, 0.5000)  2 Si 1.65


(B)
# SiAsI2N

A relaxed SiAsI2N crystal (PBE, the Alexandria database).

Results
Magnetic moment = 0.00 μB per cell

Cell: 5.9379 5.9379 3.6832 Å, 90.00 90.00 90.00°
With the nearest neighbours (Å) after each atom.
Fractional positions:
I (0.0000, 0.5000, 0.0000)  2 As 2.97
I (0.5000, 0.0000, 0.0000)  2 As 2.97
As (0.0000, 0.0000, 0.0000)  2 N 1.84
Si (0.5000, 0.5000, 0.5000)  8 I 3.49, 2 Si 3.68
N (0.0000, 0.0000, 0.5000)  2 As 1.84


Energy relative to the most stable one, in eV/atom: (A) 0.000; (B) 0.438


(A)
# SrAsIN2

A relaxed SrAsIN2 crystal (PBE, the Alexandria database).

Results
Magnetic moment = 1.49 μB per cell

Cell: 4.3035 4.3035 5.7493 Å, 90.00 90.00 90.00°
With the nearest neighbours (Å) after each atom.
Fractional positions:
I (0.0000, 0.0000, 0.5000)  2 As 2.87, 4 Sr 3.04
Sr (0.5000, 0.5000, 0.5000)  4 I 3.04
As (0.0000, 0.0000, 0.0000)  4 N 2.15
N (0.0000, 0.5000, 0.0000)  2 As 2.15
N (0.5000, 0.0000, 0.0000)  2 As 2.15


(B)
# SrAsIN2

A relaxed SrAsIN2 crystal (PBE, the Alexandria database).

Results
Magnetic moment = 1.31 μB per cell

Cell: 4.7787 4.7787 6.5970 Å, 90.00 90.00 90.00°
With the nearest neighbours (Å) after each atom.
Fractional positions:
I (0.0000, 0.0000, 0.5000)  2 Sr 3.30, 4 As 3.38
Sr (0.0000, 0.0000, 0.0000)  4 N 2.39
As (0.5000, 0.5000, 0.5000)  4 I 3.38
N (0.0000, 0.5000, 0.0000)  2 Sr 2.39
N (0.5000, 0.0000, 0.0000)  2 Sr 2.39


Energy relative to the most stable one, in eV/atom: (A) 0.000; (B) 0.962


(A)
# TaAsIN2

A relaxed TaAsIN2 crystal (PBE, the Alexandria database).

Results
Magnetic moment = 0.64 μB per cell

Cell: 4.0762 4.0762 5.9302 Å, 90.00 90.00 90.00°
With the nearest neighbours (Å) after each atom.
Fractional positions:
I (0.0000, 0.0000, 0.5000)  4 As 2.88, 2 Ta 2.97
As (0.5000, 0.5000, 0.5000)  4 I 2.88
N (0.0000, 0.5000, 0.0000)  2 Ta 2.04
N (0.5000, 0.0000, 0.0000)  2 Ta 2.04
Ta (0.0000, 0.0000, 0.0000)  4 N 2.04


(B)
# TaAsIN2

A relaxed TaAsIN2 crystal (PBE, the Alexandria database).

Results
Magnetic moment = 0.00 μB per cell

Cell: 3.9832 3.9832 5.2657 Å, 90.00 90.00 90.00°
With the nearest neighbours (Å) after each atom.
Fractional positions:
I (0.0000, 0.0000, 0.5000)  2 As 2.63, 4 Ta 2.82
As (0.0000, 0.0000, 0.0000)  4 N 1.99
N (0.0000, 0.5000, 0.0000)  2 As 1.99
N (0.5000, 0.0000, 0.0000)  2 As 1.99
Ta (0.5000, 0.5000, 0.5000)  4 I 2.82


Energy relative to the most stable one, in eV/atom: (A) 0.000; (B) 1.313


(A)
# TaAsI2N

A relaxed TaAsI2N crystal (PBE, the Alexandria database).

Results
Magnetic moment = 2.50 μB per cell

Cell: 5.8516 5.8516 3.6011 Å, 90.00 90.00 90.00°
With the nearest neighbours (Å) after each atom.
Fractional positions:
I (0.0000, 0.5000, 0.0000)  2 As 2.93
I (0.5000, 0.0000, 0.0000)  2 As 2.93
As (0.0000, 0.0000, 0.0000)  2 N 1.80
N (0.0000, 0.0000, 0.5000)  2 As 1.80
Ta (0.5000, 0.5000, 0.5000)  8 I 3.44, 2 Ta 3.60


(B)
# TaAsI2N

A relaxed TaAsI2N crystal (PBE, the Alexandria database).

Results
Magnetic moment = 0.00 μB per cell

Cell: 5.6718 5.6718 3.8977 Å, 90.00 90.00 90.00°
With the nearest neighbours (Å) after each atom.
Fractional positions:
I (0.0000, 0.5000, 0.0000)  2 Ta 2.84
I (0.5000, 0.0000, 0.0000)  2 Ta 2.84
As (0.5000, 0.5000, 0.5000)  8 I 3.44
N (0.0000, 0.0000, 0.5000)  2 Ta 1.95
Ta (0.0000, 0.0000, 0.0000)  2 N 1.95


Energy relative to the most stable one, in eV/atom: (A) 0.881; (B) 0.000